A plane-wave DFT calculation with PBE+U was carried out for a relaxed CrCdWO6 crystal.

Electronic total energy in eV/atom: -6.637
Magnetic moment in μB/atom: 0.2215
Symmetry: P4_2nm

a b c (Å): 4.7991 4.7991 9.3821
angles (deg): 90.00 90.00 90.00
With the nearest neighbours (Å) after each atom.
Sites, in units of the cell vectors:
Cr (0.0000, 0.0000, 0.0000)  6 O 1.92-2.00
Cr (0.5000, 0.5000, 0.5000)  6 O 1.92-2.00
Cd (0.0000, 0.0000, 0.6691)  6 O 2.20-2.35
Cd (0.5000, 0.5000, 0.1691)  6 O 2.20-2.35
W (0.0000, 0.0000, 0.3338)  6 O 1.92-2.00
W (0.5000, 0.5000, 0.8338)  6 O 1.92-2.00
O (0.1753, 0.1753, 0.1686)  1 W 1.95, 1 Cr 1.98
O (0.2181, 0.2181, 0.8566)  1 W 1.92, 1 Cr 2.00
O (0.2196, 0.2196, 0.4755)  1 Cr 1.92, 1 W 2.00
O (0.2804, 0.7196, 0.9755)  1 Cr 1.92, 1 W 2.00
O (0.2819, 0.7181, 0.3566)  1 W 1.92, 1 Cr 2.00
O (0.3247, 0.6753, 0.6686)  1 W 1.95, 1 Cr 1.98
O (0.6753, 0.3247, 0.6686)  1 W 1.95, 1 Cr 1.98
O (0.7181, 0.2819, 0.3566)  1 W 1.92, 1 Cr 2.00
O (0.7196, 0.2804, 0.9755)  1 Cr 1.92, 1 W 2.00
O (0.7804, 0.7804, 0.4755)  1 Cr 1.92, 1 W 2.00
O (0.7819, 0.7819, 0.8566)  1 W 1.92, 1 Cr 2.00
O (0.8247, 0.8247, 0.1686)  1 W 1.95, 1 Cr 1.98